1.
Computed, not measured: BeCrPS2 after structural relaxation at the PBE level of DFT.

a = 4.476 Å, b = 4.476 Å, c = 4.022 Å
α = 90.00°, β = 90.00°, γ = 90.00°
Space group P4/mmm (No. 123)
Unique sites:
Be  0.000  0.000  0.000 x1
Cr  0.500  0.500  0.500 x1
P  0.000  0.000  0.500 x1
S  0.000  0.500  0.000 x2

- Formation energy (no corrections): 2.44 eV per formula unit
- Magnetization: 0.7016 μB/atom
- ΔE to the lowest computed polymorph: 0.0 meV per atom
- ρ: 3.22 Mg/m³

2.
Computed, not measured: BeCrPS2 after structural relaxation at the PBE level of DFT.

a = 4.405 Å, b = 4.405 Å, c = 4.624 Å
α = 90.00°, β = 90.00°, γ = 90.00°
Space group P4/mmm (No. 123)
Unique sites:
Be  0.000  0.000  0.000 x1
Cr  0.500  0.500  0.500 x1
P  0.500  0.500  0.000 x1
S  0.000  0.500  0.500 x2

- Formation energy (no corrections): 3.44 eV per formula unit
- Magnetization: 0.1903 μB/atom
- ΔE to the lowest computed polymorph: 198.8 meV per atom
- ρ: 2.89 Mg/m³